# PBE+U VZnSe2O7, relaxed
# Mass density (g/cm3): 3.946
# Raw total energy (eV per atom): -5.828
data_VZnSe2O7
_chemical_formula_sum 'V4 Zn4 Se8 O28'
_space_group_name_H-M_alt 'P 1'
_space_group_IT_number 1
_space_group_name_Hall 'P 1'
_cell_length_a 7.564
_cell_length_b 12.831
_cell_length_c 7.789
_cell_angle_alpha 90.00
_cell_angle_beta 120.68
_cell_angle_gamma 90.00
loop_
_atom_site_label
_atom_site_fract_x
_atom_site_fract_y
_atom_site_fract_z
V1 0.036 0.246 0.274
V2 0.036 0.254 0.774
V3 0.964 0.746 0.226
V4 0.964 0.754 0.726
Zn1 0.283 0.507 0.484
Zn2 0.283 0.993 0.984
Zn3 0.717 0.007 0.016
Zn4 0.717 0.493 0.516
Se1 0.161 0.511 0.844
Se2 0.161 0.989 0.344
Se3 0.465 0.730 0.392
Se4 0.465 0.770 0.892
Se5 0.535 0.230 0.108
Se6 0.535 0.270 0.608
Se7 0.839 0.011 0.656
Se8 0.839 0.489 0.156
O1 0.001 0.092 0.198
O2 0.001 0.408 0.698
O3 0.033 0.235 0.487
O4 0.033 0.265 0.987
O5 0.057 0.095 0.781
O6 0.057 0.405 0.281
O7 0.266 0.737 0.929
O8 0.266 0.763 0.429
O9 0.314 0.535 0.748
O10 0.314 0.965 0.248
O11 0.337 0.228 0.380
O12 0.337 0.272 0.880
O13 0.470 0.594 0.425
O14 0.470 0.906 0.925
O15 0.530 0.094 0.075
O16 0.530 0.406 0.575
O17 0.663 0.728 0.120
O18 0.663 0.772 0.620
O19 0.686 0.035 0.752
O20 0.686 0.465 0.252
O21 0.734 0.237 0.571
O22 0.734 0.263 0.071
O23 0.943 0.595 0.719
O24 0.943 0.905 0.219
O25 0.967 0.735 0.013
O26 0.967 0.765 0.513
O27 0.999 0.592 0.302
O28 0.999 0.908 0.802